# KSiTc2, optimized geometry, DFT GGA-PBE
data_KSiTc2
_cell_length_a 2.724
_cell_length_b 4.713
_cell_length_c 5.275
_cell_angle_alpha 90.00
_cell_angle_beta 90.00
_cell_angle_gamma 90.00
_symmetry_space_group_name_H-M 'P m m m'
_symmetry_Int_Tables_number 47
loop_
_symmetry_equiv_pos_as_xyz
'x,y,z'
'-x,-y,-z'
'-x,-y,z'
'x,y,-z'
'x,-y,-z'
'-x,y,z'
'-x,y,-z'
'x,-y,z'
loop_
_atom_site_label
_atom_site_type_symbol
_atom_site_fract_x
_atom_site_fract_y
_atom_site_fract_z
K1 K 0.000 0.000 0.000
Si1 Si 0.500 0.000 0.500
Tc1 Tc 0.000 0.500 0.500
Tc2 Tc 0.500 0.500 0.000
# Total energy: -5.544 eV per atom
# Calculated volume: 68 Å³/cell